Material: SrGa
Method: DFT, PBE-GGA
State: relaxed

Cell and atoms, written as POSCAR:
```
SrGa
1.0
-3.5898 -2.1206 -1.6775
3.8663 -4.0203 -3.1914
0.0072 -5.4701 6.8996
Ga Sr
4 4
direct
0.2500 0.6063 0.0221 Ga
0.7500 0.3937 0.9779 Ga
0.2500 0.8937 0.5221 Ga
0.7500 0.1063 0.4779 Ga
0.7500 0.8777 0.8212 Sr
0.7500 0.6223 0.3212 Sr
0.2500 0.3777 0.6788 Sr
0.2500 0.1223 0.1788 Sr
```

Output
total magnetic moment: 0.000 μB/f.u.
formation energy: -0.4058 eV/atom
Fermi-level density of states: 0.8899 states/eV per atom